First-principles (GGA-PBE) data for crystalline Rb2NaHg2I6 at its relaxed geometry, as listed in Alexandria via LeMat-Bulk.

The structure belongs to space group C2/m (No. 12); the cell edges are 14.6849, 8.8112 and 9.4400 Å and the angles 90.00°, 119.72° and 90.00°. The asymmetric unit holds Rb at (0.2256, 0.0000, 0.1926), Na at (0.0000, 0.0000, 0.5000), Hg at (0.0365, 0.5000, 0.1707), I at (0.0686, 0.2287, 0.8059) and I at (0.2459, 0.0000, 0.5956).

The uncorrected formation energy is -831.2 meV per atom. The energy comes out at -44.6 eV/cell.

---

First-principles (GGA-PBE) data for crystalline NdSm5DyTh2 at its relaxed geometry, as listed in Alexandria via LeMat-Bulk.

The structure belongs to space group I4/mcm (No. 140); the cell edges are 8.9285, 8.9285 and 15.5980 Å and the angles 90.00°, 90.00° and 90.00°. The asymmetric unit holds Nd at (0.0000, 0.0000, 0.2500), Sm at (0.0000, 0.0000, 0.0000), Sm at (0.2086, 0.2914, 0.1378), Dy at (0.0000, 0.5000, 0.2500) and Th at (0.1190, 0.3810, 0.5000).

The energy comes out at -179.4 eV/cell. For the formation energy, the calculation gives 0.33 eV per atom.

---

First-principles (GGA-PBE) data for crystalline Dy3GaO6 at its relaxed geometry, as listed in Alexandria via LeMat-Bulk.

The structure belongs to space group Cmc2_1 (No. 36); the cell edges are 8.9174, 11.1746 and 5.4369 Å and the angles 90.00°, 90.00° and 90.00°. The asymmetric unit holds Dy at (0.0000, 0.1020, 0.0000), Dy at (0.1933, 0.3943, 0.0475), Ga at (0.0000, 0.3069, 0.5786), O at (0.0000, 0.2843, 0.2407), O at (0.0000, 0.4611, 0.7221), O at (0.1582, 0.2360, 0.7573) and O at (0.1602, 0.0161, 0.2750).

The uncorrected formation energy is -3177.4 meV per atom. The energy comes out at -313.4 eV/cell.

---

First-principles (GGA-PBE) data for crystalline TaC5 at its relaxed geometry, as listed in Alexandria via LeMat-Bulk.

The structure belongs to space group P6/mmm (No. 191); the cell edges are 4.5765, 4.5765 and 2.5391 Å and the angles 90.00°, 90.00° and 120.00°. The asymmetric unit holds Ta at (0.0000, 0.0000, 0.0000), C at (0.0000, 0.5000, 0.5000) and C at (0.3333, 0.6667, 0.0000).

The calculation puts the offset from the most stable computed form at 1.7616 eV/atom. The energy comes out at -41.7 eV/cell. For the formation energy, the calculation gives 2.71 eV per atom.

---

First-principles (GGA-PBE) data for crystalline AgRuIN2 at its relaxed geometry, as listed in Alexandria via LeMat-Bulk.

The structure belongs to space group P4/mmm (No. 123); the cell edges are 4.0128, 4.0128 and 7.6200 Å and the angles 90.00°, 90.00° and 90.00°. The asymmetric unit holds Ag at (0.0000, 0.0000, 0.0000), Ru at (0.5000, 0.5000, 0.5000), I at (0.0000, 0.0000, 0.5000) and N at (0.0000, 0.5000, 0.0000).

The uncorrected formation energy is 2223.0 meV per atom. The calculation puts the offset from the most stable computed form at 1.3331 eV/atom. The energy comes out at -19.2 eV/cell.

---

First-principles (GGA-PBE) data for crystalline Ca2Tl5In2 at its relaxed geometry, as listed in Alexandria via LeMat-Bulk.

The structure belongs to space group P-1 (No. 2); the cell edges are 3.9976, 6.6607 and 10.8239 Å and the angles 103.26°, 90.17° and 107.40°. The asymmetric unit holds Ca at (0.1477, 0.2957, 0.3666), Tl at (0.1616, 0.3267, 0.0588), Tl at (0.1663, 0.3325, 0.7086), Tl at (0.5000, 0.0000, 0.5000) and In at (0.4766, 0.9548, 0.1581).

The calculation puts the offset from the most stable computed form at 0.0000 eV/atom. The energy comes out at -22.7 eV/cell. For the formation energy, the calculation gives -0.15 eV per atom.